VASP calculation (PBE) on a relaxed structure of Er12ThSc2.

Unit cell a=6.221 b=6.221 c=24.862 alpha=90.00 beta=90.00 gamma=90.00
Space group P4/nbm (No. 125, origin choice 2)
Asymmetric unit:
Er (0.063, 0.563, 0.115) x8
Er (0.080, 0.580, 0.439) x8
Er (0.250, 0.250, 0.216) x4
Er (0.250, 0.250, 0.339) x4
Th (0.250, 0.750, 0.000) x2
Sc (0.250, 0.750, 0.276) x4

Computed properties:
Raw total energy ... -4.604 eV/atom
Formation enthalpy at 0 K ... 0.385 eV per atom

VASP calculation (PBE) on a relaxed structure of ErTh3Sc3.

Unit cell a=9.0759 b=9.0759 c=16.9496 alpha=90.00 beta=90.00 gamma=120.00
Space group R-3 (No. 148, hexagonal axes)
Asymmetric unit:
Er (0.0000, 0.0000, 0.2481) x6
Th (0.0423, 0.8026, 0.4159) x18
Sc (0.0464, 0.8096, 0.9189) x18

Computed properties:
Raw total energy ... -6.489 eV/atom
Formation enthalpy at 0 K ... 0.056 eV per atom
Offset from the most stable computed form ... 0 meV/atom

VASP calculation (PBE) on a relaxed structure of Er4ThSc5.

Unit cell a=9.705 b=9.705 c=6.070 alpha=90.00 beta=90.00 gamma=90.00
Space group I4 (No. 79)
Asymmetric unit:
Er (0.051, 0.344, 0.000) x8
Th (0.000, 0.000, 0.223) x2
Sc (0.000, 0.000, 0.752) x2
Sc (0.142, 0.230, 0.505) x8

Computed properties:
Raw total energy ... -5.421 eV/atom
Formation enthalpy at 0 K ... 0.312 eV per atom
Offset from the most stable computed form ... 97 meV/atom

VASP calculation (PBE) on a relaxed structure of Er8Th2Sc.

Unit cell a=16.428 b=6.528 c=6.517 alpha=90.00 beta=100.74 gamma=90.00
Space group C2/m (No. 12)
Asymmetric unit:
Er (0.083, 0.242, 0.392) x8
Er (0.093, 0.000, 0.908) x4
Er (0.192, 0.500, 0.818) x4
Th (0.248, 0.500, 0.341) x4
Sc (0.000, 0.500, 0.000) x2

Computed properties:
Raw total energy ... -5.053 eV/atom
Formation enthalpy at 0 K ... 0.190 eV per atom
Offset from the most stable computed form ... 0 meV/atom

VASP calculation (PBE) on a relaxed structure of ErTh4Sc2.

Unit cell a=9.222 b=9.222 c=5.246 alpha=90.00 beta=90.00 gamma=90.00
Space group P4_2/mnm (No. 136)
Asymmetric unit:
Er (0.000, 0.000, 0.000) x2
Th (0.118, 0.363, 0.500) x8
Sc (0.188, 0.812, 0.500) x4

Computed properties:
Raw total energy ... -6.373 eV/atom
Formation enthalpy at 0 K ... 0.328 eV per atom
Offset from the most stable computed form ... 55 meV/atom

VASP calculation (PBE) on a relaxed structure of Er7ThSc2.

Unit cell a=8.661 b=15.364 c=5.452 alpha=90.00 beta=90.00 gamma=90.00
Space group Cmmm (No. 65)
Asymmetric unit:
Er (0.000, 0.000, 0.000) x2
Er (0.000, 0.275, 0.500) x4
Er (0.178, 0.382, 0.000) x8
Th (0.000, 0.500, 0.500) x2
Sc (0.000, 0.202, 0.000) x4

Computed properties:
Raw total energy ... -4.495 eV/atom
Formation enthalpy at 0 K ... 0.708 eV per atom

VASP calculation (PBE) on a relaxed structure of Er2ThSc6.

Unit cell a=8.418 b=16.548 c=3.513 alpha=90.00 beta=99.99 gamma=90.00
Space group C2/m (No. 12)
Asymmetric unit:
Er (0.000, 0.180, 0.000) x4
Th (0.000, 0.000, 0.500) x2
Sc (0.155, 0.500, 0.836) x4
Sc (0.166, 0.343, 0.355) x8

Computed properties:
Raw total energy ... -5.939 eV/atom
Formation enthalpy at 0 K ... 0.120 eV per atom
Offset from the most stable computed form ... 17 meV/atom

VASP calculation (PBE) on a relaxed structure of Er2Th5Sc12.

Unit cell a=10.495 b=10.661 c=9.783 alpha=90.00 beta=107.25 gamma=90.00
Space group C2/m (No. 12)
Asymmetric unit:
Er (0.000, 0.235, 0.000) x4
Th (0.000, 0.500, 0.500) x2
Th (0.164, 0.000, 0.603) x4
Th (0.233, 0.000, 0.973) x4
Sc (0.031, 0.500, 0.182) x4
Sc (0.104, 0.000, 0.243) x4
Sc (0.107, 0.252, 0.395) x8
Sc (0.184, 0.284, 0.769) x8

Computed properties:
Raw total energy ... -6.321 eV/atom
Formation enthalpy at 0 K ... 0.111 eV per atom
Offset from the most stable computed form ... 0 meV/atom

VASP calculation (PBE) on a relaxed structure of Er2ThSc8.

Unit cell a=5.424 b=6.827 c=16.070 alpha=90.00 beta=90.00 gamma=90.00
Space group Immm (No. 71)
Asymmetric unit:
Er (0.000, 0.000, 0.190) x4
Th (0.000, 0.500, 0.000) x2
Sc (0.000, 0.222, 0.372) x8
Sc (0.000, 0.500, 0.203) x4
Sc (0.242, 0.000, 0.000) x4

Computed properties:
Raw total energy ... -5.957 eV/atom
Formation enthalpy at 0 K ... 0.152 eV per atom

VASP calculation (PBE) on a relaxed structure of Er2Th4Sc.

Unit cell a=8.132 b=8.132 c=3.452 alpha=90.00 beta=90.00 gamma=90.00
Space group P4/mmm (No. 123)
Asymmetric unit:
Er (0.000, 0.500, 0.000) x2
Th (0.210, 0.210, 0.500) x4
Sc (0.500, 0.500, 0.500) x1

Computed properties:
Raw total energy ... -6.022 eV/atom
Formation enthalpy at 0 K ... 0.426 eV per atom

VASP calculation (PBE) on a relaxed structure of Er5Th2Sc5.

Unit cell a=11.502 b=5.422 c=11.588 alpha=90.00 beta=109.41 gamma=90.00
Space group C2/m (No. 12)
Asymmetric unit:
Er (0.000, 0.000, 0.000) x2
Er (0.038, 0.000, 0.717) x4
Er (0.242, 0.500, 0.757) x4
Th (0.209, 0.000, 0.543) x4
Sc (0.000, 0.500, 0.500) x2
Sc (0.046, 0.500, 0.201) x4
Sc (0.206, 0.500, 0.037) x4

Computed properties:
Raw total energy ... -5.685 eV/atom
Formation enthalpy at 0 K ... 0.091 eV per atom
Offset from the most stable computed form ... 39 meV/atom

VASP calculation (PBE) on a relaxed structure of Er3Th4Sc2.

Unit cell a=16.175 b=11.410 c=5.903 alpha=90.00 beta=98.35 gamma=90.00
Space group C2/c (No. 15)
Asymmetric unit:
Er (0.000, 0.109, 0.250) x4
Er (0.174, 0.371, 0.074) x8
Th (0.058, 0.376, 0.520) x8
Th (0.214, 0.123, 0.383) x8
Sc (0.107, 0.132, 0.818) x8

Computed properties:
Raw total energy ... -6.103 eV/atom
Formation enthalpy at 0 K ... 0.123 eV per atom
Offset from the most stable computed form ... 0 meV/atom

- Which value of formation enthalpy at 0 K does entry 11 give?
  0.091 eV per atom